Entry 1:
# PBE-GGA Al3AgP, relaxed
# Magnetic moment ... 0.0 Bohr magnetons per cell
# Energy above the most stable polymorph in this dataset ... 0 meV/atom
# Energy ... -3.449 eV/atom
# ΔH_f (0 K) ... 0.45 eV per atom
data_Al3AgP
_chemical_formula_sum 'Al3 Ag1 P1'
_cell_length_a 4.705
_cell_length_b 4.705
_cell_length_c 4.705
_cell_angle_alpha 90.00
_cell_angle_beta 90.00
_cell_angle_gamma 90.00
_symmetry_space_group_name_H-M 'P m -3 m'
_symmetry_Int_Tables_number 221
_symmetry_space_group_name_Hall '-P 4 2 3'
loop_
_atom_site_label
_atom_site_type_symbol
_atom_site_fract_x
_atom_site_fract_y
_atom_site_fract_z
Al1 Al 0.000 0.000 0.500
Ag1 Ag 0.500 0.500 0.500
P1 P 0.000 0.000 0.000

***

Entry 2:
# PBE-GGA AlAgP, relaxed
# Magnetic moment ... 0.0 Bohr magnetons per cell
# Energy above the most stable polymorph in this dataset ... 68 meV/atom
# Energy ... -3.980 eV/atom
# ΔH_f (0 K) ... 0.02 eV per atom
data_AlAgP
_chemical_formula_sum 'Al1 Ag1 P1'
_cell_length_a 3.7480
_cell_length_b 3.7480
_cell_length_c 4.5689
_cell_angle_alpha 90.00
_cell_angle_beta 90.00
_cell_angle_gamma 120.00
_symmetry_space_group_name_H-M 'P 3 m 1'
_symmetry_Int_Tables_number 156
loop_
_symmetry_equiv_pos_as_xyz
'x,y,z'
'-y,x-y,z'
'-x+y,-x,z'
'-y,-x,z'
'-x+y,y,z'
'x,x-y,z'
loop_
_atom_site_label
_atom_site_type_symbol
_atom_site_fract_x
_atom_site_fract_y
_atom_site_fract_z
Al1 Al 0.0000 0.0000 0.0000
Ag1 Ag 0.3333 0.6667 0.5940
P1 P 0.6667 0.3333 0.2217

***

Entry 3:
# PBE-GGA AlAgPS2, relaxed
# Magnetic moment ... 0.6 Bohr magnetons per cell
# Energy above the most stable polymorph in this dataset ... 0 meV/atom
# Energy ... -3.682 eV/atom
data_AlAgPS2
_chemical_formula_sum 'Al1 Ag1 P1 S2'
_cell_length_a 4.658
_cell_length_b 4.658
_cell_length_c 4.669
_cell_angle_alpha 90.00
_cell_angle_beta 90.00
_cell_angle_gamma 90.00
_symmetry_space_group_name_H-M 'P 4/m m m'
_symmetry_Int_Tables_number 123
_symmetry_space_group_name_Hall '-P 4 2'
loop_
_atom_site_label
_atom_site_type_symbol
_atom_site_fract_x
_atom_site_fract_y
_atom_site_fract_z
Al1 Al 0.000 0.000 0.000
Ag1 Ag 0.500 0.500 0.500
P1 P 0.000 0.000 0.500
S1 S 0.000 0.500 0.000

***

Entry 4:
# PBE-GGA Al2AgPS6, relaxed
# Magnetic moment ... 0.0 Bohr magnetons per cell
# Energy ... -4.562 eV/atom
data_Al2AgPS6
_chemical_formula_sum 'Al8 Ag4 P4 S24'
_cell_length_a 13.373
_cell_length_b 13.713
_cell_length_c 6.722
_cell_angle_alpha 90.00
_cell_angle_beta 119.76
_cell_angle_gamma 90.00
_symmetry_space_group_name_H-M 'C 1 2/c 1'
_symmetry_Int_Tables_number 15
loop_
_symmetry_equiv_pos_as_xyz
'x,y,z'
'-x,-y,-z'
'-x,y,-z+1/2'
'x,-y,z+1/2'
'x+1/2,y+1/2,z'
'-x+1/2,-y+1/2,-z'
'-x+1/2,y+1/2,-z+1/2'
'x+1/2,-y+1/2,z+1/2'
loop_
_atom_site_label
_atom_site_type_symbol
_atom_site_fract_x
_atom_site_fract_y
_atom_site_fract_z
Al1 Al 0.237 0.085 0.145
Ag1 Ag 0.000 0.058 0.250
P1 P 0.000 0.283 0.750
S1 S 0.081 0.364 0.612
S2 S 0.104 0.209 0.052
S3 S 0.208 0.054 0.452

***

Entry 5:
# PBE-GGA AlAg2PS4, relaxed
# Magnetic moment ... 0.0 Bohr magnetons per cell
# Energy ... -4.171 eV/atom
data_AlAg2PS4
_chemical_formula_sum 'Al2 Ag4 P2 S8'
_cell_length_a 5.793
_cell_length_b 5.793
_cell_length_c 10.765
_cell_angle_alpha 90.00
_cell_angle_beta 90.00
_cell_angle_gamma 90.00
_symmetry_space_group_name_H-M 'I -4'
_symmetry_Int_Tables_number 82
loop_
_symmetry_equiv_pos_as_xyz
'x,y,z'
'y,-x,-z'
'-x,-y,z'
'-y,x,-z'
'x+1/2,y+1/2,z+1/2'
'y+1/2,-x+1/2,-z+1/2'
'-x+1/2,-y+1/2,z+1/2'
'-y+1/2,x+1/2,-z+1/2'
loop_
_atom_site_label
_atom_site_type_symbol
_atom_site_fract_x
_atom_site_fract_y
_atom_site_fract_z
Al1 Al 0.000 0.000 0.000
Ag1 Ag 0.000 0.000 0.500
Ag2 Ag 0.000 0.500 0.750
P1 P 0.000 0.500 0.250
S1 S 0.216 0.760 0.121

***

Entry 6:
# PBE-GGA SrAl2AgP, relaxed
# Magnetic moment ... 0.0 Bohr magnetons per cell
# Energy ... -3.349 eV/atom
# ΔH_f (0 K) ... 0.14 eV per atom
data_SrAl2AgP
_chemical_formula_sum 'Sr1 Al2 Ag1 P1'
_cell_length_a 4.941
_cell_length_b 4.941
_cell_length_c 5.018
_cell_angle_alpha 90.00
_cell_angle_beta 90.00
_cell_angle_gamma 90.00
_symmetry_space_group_name_H-M 'P 4/m m m'
_symmetry_Int_Tables_number 123
_symmetry_space_group_name_Hall '-P 4 2'
loop_
_atom_site_label
_atom_site_type_symbol
_atom_site_fract_x
_atom_site_fract_y
_atom_site_fract_z
Sr1 Sr 0.000 0.000 0.000
Al1 Al 0.000 0.500 0.500
Ag1 Ag 0.500 0.500 0.000
P1 P 0.500 0.500 0.500

***

Entry 7:
# PBE-GGA AlV2AgP, relaxed
# Magnetic moment ... 3.9 Bohr magnetons per cell
# Energy ... -4.831 eV/atom
# ΔH_f (0 K) ... 1.22 eV per atom
data_AlV2AgP
_chemical_formula_sum 'Al1 V2 Ag1 P1'
_cell_length_a 4.689
_cell_length_b 4.689
_cell_length_c 4.576
_cell_angle_alpha 90.00
_cell_angle_beta 90.00
_cell_angle_gamma 90.00
_symmetry_space_group_name_H-M 'P 4/m m m'
_symmetry_Int_Tables_number 123
_symmetry_space_group_name_Hall '-P 4 2'
loop_
_atom_site_label
_atom_site_type_symbol
_atom_site_fract_x
_atom_site_fract_y
_atom_site_fract_z
Al1 Al 0.000 0.000 0.000
V1 V 0.000 0.500 0.000
Ag1 Ag 0.000 0.000 0.500
P1 P 0.500 0.500 0.500

***

Entry 8:
# PBE-GGA ZrAl2AgP, relaxed
# Magnetic moment ... 0.0 Bohr magnetons per cell
# Energy ... -4.678 eV/atom
# ΔH_f (0 K) ... 0.18 eV per atom
data_ZrAl2AgP
_chemical_formula_sum 'Zr1 Al2 Ag1 P1'
_cell_length_a 4.616
_cell_length_b 4.616
_cell_length_c 4.843
_cell_angle_alpha 90.00
_cell_angle_beta 90.00
_cell_angle_gamma 90.00
_symmetry_space_group_name_H-M 'P 4/m m m'
_symmetry_Int_Tables_number 123
_symmetry_space_group_name_Hall '-P 4 2'
loop_
_atom_site_label
_atom_site_type_symbol
_atom_site_fract_x
_atom_site_fract_y
_atom_site_fract_z
Zr1 Zr 0.000 0.000 0.000
Al1 Al 0.000 0.500 0.500
Ag1 Ag 0.500 0.500 0.000
P1 P 0.000 0.000 0.500

***

Entry 9:
# PBE-GGA ZrAlAgP2, relaxed
# Magnetic moment ... 0.0 Bohr magnetons per cell
# Energy ... -4.770 eV/atom
# ΔH_f (0 K) ... 0.42 eV per atom
data_ZrAlAgP2
_chemical_formula_sum 'Zr1 Al1 Ag1 P2'
_cell_length_a 4.634
_cell_length_b 4.634
_cell_length_c 4.634
_cell_angle_alpha 90.00
_cell_angle_beta 90.00
_cell_angle_gamma 90.00
_symmetry_space_group_name_H-M 'P 4/m m m'
_symmetry_Int_Tables_number 123
_symmetry_space_group_name_Hall '-P 4 2'
loop_
_atom_site_label
_atom_site_type_symbol
_atom_site_fract_x
_atom_site_fract_y
_atom_site_fract_z
Zr1 Zr 0.000 0.000 0.000
Al1 Al 0.500 0.500 0.500
Ag1 Ag 0.500 0.500 0.000
P1 P 0.000 0.500 0.500

***

Entry 10:
# PBE-GGA PaAlAg, relaxed
# Magnetic moment ... 0.6 Bohr magnetons per cell
# Energy above the most stable polymorph in this dataset ... 0 meV/atom
# Energy ... -5.444 eV/atom
# ΔH_f (0 K) ... -0.08 eV per atom
data_PaAlAg
_chemical_formula_sum 'Pa1 Al1 Ag1'
_cell_length_a 4.7918
_cell_length_b 4.7918
_cell_length_c 3.1354
_cell_angle_alpha 90.00
_cell_angle_beta 90.00
_cell_angle_gamma 120.00
_symmetry_space_group_name_H-M 'P -6 m 2'
_symmetry_Int_Tables_number 187
_symmetry_space_group_name_Hall 'P -6 2'
loop_
_atom_site_label
_atom_site_type_symbol
_atom_site_fract_x
_atom_site_fract_y
_atom_site_fract_z
Pa1 Pa 0.0000 0.0000 0.0000
Al1 Al 0.6667 0.3333 0.5000
Ag1 Ag 0.3333 0.6667 0.5000

***

Entry 11:
# PBE-GGA PaAlAg, relaxed
# Magnetic moment ... 7.7 Bohr magnetons per cell
# Energy above the most stable polymorph in this dataset ... 171 meV/atom
# Energy ... -5.273 eV/atom
# ΔH_f (0 K) ... 0.09 eV per atom
data_PaAlAg
_chemical_formula_sum 'Pa8 Al8 Ag8'
_cell_length_a 5.429
_cell_length_b 8.479
_cell_length_c 11.190
_cell_angle_alpha 90.00
_cell_angle_beta 90.00
_cell_angle_gamma 90.00
_symmetry_space_group_name_H-M 'F m m m'
_symmetry_Int_Tables_number 69
_symmetry_space_group_name_Hall '-F 2 2'
loop_
_atom_site_label
_atom_site_type_symbol
_atom_site_fract_x
_atom_site_fract_y
_atom_site_fract_z
Pa1 Pa 0.000 0.162 0.000
Al1 Al 0.000 0.000 0.375
Ag1 Ag 0.250 0.250 0.250

***

Entry 12:
# PBE-GGA Pa2Al9Ag, relaxed
# Magnetic moment ... 0.0 Bohr magnetons per cell
# Energy ... -4.758 eV/atom
# ΔH_f (0 K) ... -0.13 eV per atom
data_Pa2Al9Ag
_chemical_formula_sum 'Pa2 Al9 Ag1'
_cell_length_a 4.270
_cell_length_b 4.270
_cell_length_c 12.475
_cell_angle_alpha 90.00
_cell_angle_beta 90.00
_cell_angle_gamma 90.00
_symmetry_space_group_name_H-M 'P 4/m m m'
_symmetry_Int_Tables_number 123
_symmetry_space_group_name_Hall '-P 4 2'
loop_
_atom_site_label
_atom_site_type_symbol
_atom_site_fract_x
_atom_site_fract_y
_atom_site_fract_z
Pa1 Pa 0.000 0.000 0.172
Al1 Al 0.000 0.500 0.000
Al2 Al 0.000 0.500 0.348
Al3 Al 0.500 0.500 0.168
Al4 Al 0.500 0.500 0.500
Ag1 Ag 0.000 0.000 0.500